No. 1
Material: Pr2DyTm7
Method: DFT, PBE-GGA
State: relaxed

```
10
Lattice="-1.653 -4.747 -2.355 5.968 -6.713 0.770 -4.491 6.033 8.011" Properties=species:S:1:pos:R:3 pbc="T T T"
Tm 3.325 -8.632 1.268
Tm 1.068 -1.559 3.275
Tm 0.642 -3.147 0.393
Tm 2.157 -5.730 -0.792
Tm -1.244 -3.868 3.151
Tm -0.817 -2.280 6.032
Dy 0.000 0.000 0.000
Pr 1.908 -5.011 2.799
Pr -2.084 -0.416 3.626
Tm -3.501 3.206 5.157
```

For the formation energy, the calculation gives 0.22 eV/atom. The crystal system is triclinic. The calculation puts the energy at -4.323 eV/atom. Its space-group type is P-1 (2). The calculation puts the relative energy among the computed polymorphs at 0.065 eV per atom.

---

No. 2
Material: PrDy3Tm4
Method: DFT, PBE-GGA
State: relaxed

```
16
Lattice="6.244 0.000 0.000 0.000 7.236 0.000 0.000 0.000 11.224" Properties=species:S:1:pos:R:3 pbc="T T T"
Tm 0.925 6.351 0.000
Dy 3.008 2.693 8.419
Tm 6.127 0.886 8.397
Tm 6.127 0.886 2.827
Dy 6.130 4.544 2.807
Pr 4.038 4.535 5.612
Tm 4.048 0.881 0.000
Tm 4.047 0.886 5.612
Tm 3.005 6.351 2.785
Tm 3.005 6.351 8.439
Dy 6.130 4.544 8.418
Pr 0.916 2.702 0.000
Dy 3.008 2.693 2.805
Dy 4.035 4.542 0.000
Dy 0.913 2.694 5.612
Tm 0.926 6.355 5.612
```

For the formation energy, the calculation gives 0.01 eV/atom. The crystal system is orthorhombic. The calculation puts the energy at -4.549 eV/atom. Its space-group type is Pmn2_1 (31). The calculation puts the relative energy among the computed polymorphs at 0.000 eV per atom.